No. 1
First-principles (GGA-PBE) data for an optimized crystal structure of SiSbW4N2, as listed in the Open Quantum Materials Database. Values from VASP.

Structure (Quantum ESPRESSO input):
```
&SYSTEM
  ibrav = 0, nat = 8, ntyp = 4
/
ATOMIC_SPECIES
W 183.84 W.upf
N 14.01 N.upf
Sb 121.76 Sb.upf
Si 28.09 Si.upf
ATOMIC_POSITIONS crystal
W 0.000 0.000 0.138
N 0.667 0.333 0.238
W 0.000 0.000 0.862
N 0.667 0.333 0.762
W 0.333 0.667 0.668
W 0.333 0.667 0.332
Sb 0.000 0.000 0.500
Si 0.333 0.667 0.000
CELL_PARAMETERS angstrom
-2.526 -1.267 1.156
2.723 -1.283 0.512
1.385 7.379 11.115
```

Properties
Space-group type ... P-6m2
Final energy ... -75.2 eV for the cell shown
M_tot ... 0.0001 μB per atom

---

No. 2
First-principles (GGA-PBE) data for an optimized crystal structure of ZrZn, as listed in the Open Quantum Materials Database. Values from VASP.

Structure (Quantum ESPRESSO input):
```
&SYSTEM
  ibrav = 0, nat = 12, ntyp = 2
/
ATOMIC_SPECIES
Zn 65.41 Zn.upf
Zr 91.22 Zr.upf
ATOMIC_POSITIONS crystal
Zn 0.856 0.195 0.500
Zr 0.991 0.889 0.000
Zr 0.711 0.609 0.000
Zr 0.512 0.447 0.500
Zn 0.366 0.860 0.000
Zr 0.232 0.167 0.500
Zn 0.221 0.724 0.500
Zr 0.616 0.163 0.000
Zn 0.001 0.331 0.000
Zn 0.934 0.587 0.500
Zn 0.288 0.469 0.000
Zr 0.607 0.892 0.500
CELL_PARAMETERS angstrom
-1.797 4.753 6.130
4.170 -2.798 4.007
3.120 2.824 -1.275
```

Properties
Space-group type ... P2_1/m
Final energy ... -59.9 eV for the cell shown
E_form ... -17 kJ/mol of formula units
M_tot ... 0.0005 μB per atom

---

No. 3
First-principles (GGA-PBE) data for an optimized crystal structure of PrMg4AlPt2, as listed in the Open Quantum Materials Database. Values from VASP.

Structure (Quantum ESPRESSO input):
```
&SYSTEM
  ibrav = 0, nat = 8, ntyp = 4
/
ATOMIC_SPECIES
Mg 24.30 Mg.upf
Al 26.98 Al.upf
Pt 195.08 Pt.upf
Pr 140.91 Pr.upf
ATOMIC_POSITIONS crystal
Mg 0.183 0.655 0.655
Al 0.000 0.948 0.948
Pt 0.500 0.764 0.764
Mg 0.290 0.352 0.352
Pt 0.000 0.217 0.217
Mg 0.817 0.655 0.655
Mg 0.710 0.352 0.352
Pr 0.500 0.057 0.057
CELL_PARAMETERS angstrom
8.087 0.000 0.000
0.000 2.163 4.854
0.000 -2.163 4.854
```

Properties
Space-group type ... Amm2
Final energy ... -31.3 eV for the cell shown
M_tot ... 0.0035 μB per atom